1.
{
  "formula": "Sr4P5Pd5",
  "functional": "PBE",
  "state": "relaxed",
  "lattice_angstrom": [[15.940, -0.016, 0.000], [-15.383, 4.177, 0.000], [0.000, 0.000, 8.719]],
  "species": ["Sr", "Sr", "Sr", "Sr", "Sr", "Sr", "Sr", "Sr", "P", "P", "P", "P", "P", "P", "P", "P", "P", "P", "Pd", "Pd", "Pd", "Pd", "Pd", "Pd", "Pd", "Pd", "Pd", "Pd"],
  "fractional_positions": [[0.194, 0.806, 0.506], [0.806, 0.194, 0.494], [0.806, 0.194, 0.006], [0.194, 0.806, 0.994], [0.421, 0.579, 0.001], [0.579, 0.421, 0.501], [0.579, 0.421, 0.999], [0.421, 0.579, 0.499], [0.729, 0.271, 0.250], [0.958, 0.042, 0.250], [0.956, 0.044, 0.750], [0.042, 0.958, 0.750], [0.044, 0.956, 0.250], [0.343, 0.657, 0.750], [0.657, 0.343, 0.250], [0.656, 0.344, 0.750], [0.271, 0.729, 0.750], [0.344, 0.656, 0.250], [0.266, 0.734, 0.250], [0.734, 0.266, 0.750], [0.000, 0.000, 0.500], [0.120, 0.880, 0.250], [0.880, 0.120, 0.750], [0.881, 0.119, 0.250], [0.119, 0.881, 0.750], [0.500, 0.500, 0.250], [0.500, 0.500, 0.750], [0.000, 0.000, 0.000]],
  "delta_e_f_ev_per_atom": -0.942,
  "magnetic_moment_mub_per_fu": 0.00,
  "space_group": "Cmcm, No. 63",
  "dos_ef_per_ev_atom": 0.595
}



2.
{
  "formula": "Li2Ni3Ge5",
  "functional": "PBE",
  "state": "relaxed",
  "lattice_angstrom": [[3.876, 0.000, -0.660], [0.000, 6.576, 0.000], [0.005, 0.000, 11.734]],
  "species": ["Li", "Li", "Li", "Li", "Ni", "Ni", "Ni", "Ni", "Ni", "Ni", "Ge", "Ge", "Ge", "Ge", "Ge", "Ge", "Ge", "Ge", "Ge", "Ge"],
  "fractional_positions": [[0.478, 0.755, 0.956], [0.173, 0.711, 0.346], [0.827, 0.211, 0.654], [0.522, 0.255, 0.044], [0.778, 0.726, 0.556], [0.606, 0.509, 0.212], [0.051, 0.973, 0.102], [0.222, 0.226, 0.444], [0.949, 0.473, 0.898], [0.394, 0.009, 0.788], [0.402, 0.376, 0.803], [0.293, 0.509, 0.587], [0.707, 0.009, 0.413], [0.115, 0.268, 0.230], [0.293, 0.939, 0.587], [0.954, 0.099, 0.907], [0.707, 0.439, 0.413], [0.885, 0.768, 0.770], [0.046, 0.599, 0.093], [0.598, 0.876, 0.197]],
  "delta_e_f_ev_per_atom": -0.259,
  "magnetic_moment_mub_per_fu": 0.00,
  "space_group": "Cmc2_1, No. 36",
  "dos_ef_per_ev_atom": 0.410
}



3.
{
  "formula": "LiPAu",
  "functional": "PBE",
  "state": "relaxed",
  "lattice_angstrom": [[2.832, 0.000, 0.000], [-1.416, 2.453, 0.000], [0.000, 0.000, 6.786]],
  "species": ["Au", "Li", "P"],
  "fractional_positions": [[0.000, 0.000, 0.021], [0.667, 0.333, 0.342], [0.333, 0.667, 0.637]],
  "delta_e_f_ev_per_atom": -0.032,
  "magnetic_moment_mub_per_fu": 0.00,
  "space_group": "P3m1, No. 156",
  "dos_ef_per_ev_atom": 0.507
}